1.
Compound: YRe2Ni
Source: Alexandria via LeMat-Bulk
Functional: GGA-PBE
Structure: relaxed

Output
- DFT formation energy (eV/f.u.) = 1.2
- total DFT energy (no corrections) (eV/atom) = -8.99
- total moment (μB per atom) = 0.000
- DOS(E_F) (states/eV/cell) = 2.9

Structure (CIF):
```
data_YRe2Ni
_cell_length_a 3.236
_cell_length_b 4.774
_cell_length_c 4.622
_cell_angle_alpha 90.00
_cell_angle_beta 102.18
_cell_angle_gamma 90.00
_symmetry_space_group_name_H-M 'P 1 2/m 1'
_symmetry_Int_Tables_number 10
loop_
_symmetry_equiv_pos_as_xyz
'x,y,z'
'-x,-y,-z'
'-x,y,-z'
'x,-y,z'
loop_
_atom_site_label
_atom_site_type_symbol
_atom_site_fract_x
_atom_site_fract_y
_atom_site_fract_z
Y1 Y 0.000 0.000 0.000
Re1 Re 0.336 0.500 0.717
Ni1 Ni 0.500 0.000 0.500
```

=====

2.
Compound: YRe2Ni
Source: Alexandria via LeMat-Bulk
Functional: GGA-PBE
Structure: relaxed

Output
- DFT formation energy (eV/f.u.) = 0.7
- total DFT energy (no corrections) (eV/atom) = -9.12
- total moment (μB per atom) = 0.000
- DOS(E_F) (states/eV/cell) = 3.6

Structure (CIF):
```
data_YRe2Ni
_cell_length_a 2.996
_cell_length_b 4.287
_cell_length_c 5.430
_cell_angle_alpha 90.00
_cell_angle_beta 100.98
_cell_angle_gamma 90.00
_symmetry_space_group_name_H-M 'P 1 m 1'
_symmetry_Int_Tables_number 6
loop_
_symmetry_equiv_pos_as_xyz
'x,y,z'
'x,-y,z'
loop_
_atom_site_label
_atom_site_type_symbol
_atom_site_fract_x
_atom_site_fract_y
_atom_site_fract_z
Y1 Y 0.000 0.000 0.000
Re1 Re 0.264 0.500 0.604
Re2 Re 0.636 0.000 0.491
Ni1 Ni 0.571 0.500 0.193
```

=====

3.
Compound: YRe2Ni
Source: Alexandria via LeMat-Bulk
Functional: GGA-PBE
Structure: relaxed

Output
- DFT formation energy (eV/f.u.) = 0.9
- total DFT energy (no corrections) (eV/atom) = -9.05
- total moment (μB per atom) = 0.000
- DOS(E_F) (states/eV/cell) = 3.6

Structure (CIF):
```
data_YRe2Ni
_cell_length_a 3.217
_cell_length_b 4.308
_cell_length_c 4.791
_cell_angle_alpha 90.00
_cell_angle_beta 90.00
_cell_angle_gamma 90.00
_symmetry_space_group_name_H-M 'P m m m'
_symmetry_Int_Tables_number 47
loop_
_symmetry_equiv_pos_as_xyz
'x,y,z'
'-x,-y,-z'
'-x,-y,z'
'x,y,-z'
'x,-y,-z'
'-x,y,z'
'-x,y,-z'
'x,-y,z'
loop_
_atom_site_label
_atom_site_type_symbol
_atom_site_fract_x
_atom_site_fract_y
_atom_site_fract_z
Y1 Y 0.000 0.000 0.000
Re1 Re 0.000 0.500 0.500
Re2 Re 0.500 0.000 0.500
Ni1 Ni 0.500 0.500 0.000
```